# 1
Material: BeNbNi2
Method: DFT, PBE
State: relaxed

DFT formation energy	0.178	eV/atom
V	12.92	A^3/atom
density of states at the Fermi level	0.606	states/eV per atom

Cell lengths 3.570, 3.570, 16.221 Å; angles 90.00, 90.00, 90.00 degrees
Space group I-42d (No. 122)
Unique sites:
Be 0.000 0.000 0.000
Nb 0.000 0.000 0.500
Ni 0.213 0.250 0.125


# 2
Material: BaReSb2Te
Method: DFT, PBE
State: relaxed

energy relative to the elements, uncorrected	-52	meV/atom
V	32.80	A^3/atom
density of states at the Fermi level	0.678	states/eV per atom
energy above the lowest structure with this stoichiometry	0	meV/atom

Cell lengths 5.110, 5.110, 6.282 Å; angles 90.00, 90.00, 90.00 degrees
Space group P4/mmm (No. 123)
Unique sites:
Ba 0.000 0.000 0.000
Re 0.500 0.500 0.500
Sb 0.000 0.500 0.500
Te 0.500 0.500 0.000


# 3
Material: In2Ni2Sb
Method: DFT, PBE
State: relaxed

energy relative to the elements, uncorrected	163	meV/atom
V	20.44	A^3/atom
density of states at the Fermi level	0.750	states/eV per atom
energy above the lowest structure with this stoichiometry	137	meV/atom

Cell lengths 3.448, 3.448, 17.187 Å; angles 90.00, 90.00, 90.00 degrees
Space group I4/mmm (No. 139)
Unique sites:
In 0.000 0.000 0.131
Ni 0.000 0.500 0.250
Sb 0.000 0.000 0.500


# 4
Material: CoCuW2
Method: DFT, PBE
State: relaxed

DFT formation energy	0.265	eV/atom
V	13.80	A^3/atom
density of states at the Fermi level	0.847	states/eV per atom
energy above the lowest structure with this stoichiometry	76	meV/atom

Cell lengths 2.696, 3.697, 5.539 Å; angles 90.00, 90.00, 90.00 degrees
Space group Pmm2 (No. 25)
Unique sites:
Co 0.000 0.000 0.000
Cu 0.500 0.500 0.223
W 0.000 0.000 0.465
W 0.500 0.500 0.759


# 5
Material: CoNi3S
Method: DFT, PBE
State: relaxed

energy relative to the elements, uncorrected	1098	meV/atom
V	15.63	A^3/atom
density of states at the Fermi level	1.184	states/eV per atom
energy above the lowest structure with this stoichiometry	763	meV/atom

Cell lengths 4.275, 4.275, 4.275 Å; angles 90.00, 90.00, 90.00 degrees
Space group Pm-3m (No. 221)
Unique sites:
Co 0.000 0.000 0.000
Ni 0.000 0.000 0.500
S 0.500 0.500 0.500


# 6
Material: SrFeH2N
Method: DFT, PBE
State: relaxed

electronic total energy	-5.442	eV per atom
V	10.18	A^3/atom
density of states at the Fermi level	0.325	states/eV per atom

Cell lengths 3.758, 3.758, 3.605 Å; angles 90.00, 90.00, 90.00 degrees
Space group P4/mmm (No. 123)
Unique sites:
Sr 0.000 0.000 0.000
Fe 0.500 0.500 0.500
H 0.000 0.500 0.500
N 0.500 0.500 0.000